Computed, not measured: crystalline Mn2Ru2Rh at its relaxed geometry at the GGA-PBE level of DFT.

Output
formation enthalpy at 0 K	1.10	eV/f.u.
energy above the lowest structure with this stoichiometry	0.088	eV per atom

Cell: 7.044 7.044 2.674 Å, 90.00 90.00 90.00°
Sites, in units of the cell vectors:
Mn: 0.168 0.332 0.000
Mn: 0.332 0.832 0.000
Mn: 0.668 0.168 0.000
Mn: 0.832 0.668 0.000
Ru: 0.129 0.629 0.500
Ru: 0.371 0.129 0.500
Ru: 0.629 0.871 0.500
Ru: 0.871 0.371 0.500
Rh: 0.000 0.000 0.500
Rh: 0.500 0.500 0.500